Entry 1:
The following is a DFT calculation (PBE) of a geometry-optimized PmPrY2 structure.

abc: 3.6470 3.6470 11.9185
angles: 81.20 81.20 60.00
Element x y z (fractional)
Pr  0.6665  0.6665  0.0005
Y  0.0835  0.0835  0.7495
Y  0.2496  0.2496  0.2512
Pm  0.5004  0.5004  0.4988

Output
energy of formation: 0.012 eV per atom
energy relative to the lowest polymorph listed for this composition: 3 meV/atom
calculated volume: 33.78 Å³ per atom
final energy: -5.602 eV/atom
space-group type: R3m, No. 160

***

Entry 2:
The following is a DFT calculation (PBE) of a geometry-optimized ScCd2Fe structure.

abc: 5.3534 5.3534 5.1065
angles: 69.95 69.95 33.95
Element x y z (fractional)
Cd  0.7695  0.7695  0.7722
Cd  0.0065  0.0065  0.9696
Fe  0.4957  0.4957  0.4545
Sc  0.2283  0.2283  0.3037

Output
energy of formation: 0.093 eV per atom
calculated volume: 19.08 Å³ per atom
final energy: -4.064 eV/atom
space-group type: Cm, No. 8

***

Entry 3:
The following is a DFT calculation (PBE) of a geometry-optimized RbTbSnS4 structure.

abc: 6.8052 6.9891 9.2519
angles: 90.00 108.15 90.00
Element x y z (fractional)
S  0.4830  0.7500  0.5892
S  0.4548  0.7500  0.1772
S  0.5452  0.2500  0.8228
S  0.9925  0.4936  0.3046
S  0.0075  0.5064  0.6954
S  0.5170  0.2500  0.4108
S  0.9925  0.0064  0.3046
S  0.0075  0.9936  0.6954
Rb  0.2627  0.2500  0.0561
Rb  0.7373  0.7500  0.9439
Tb  0.2101  0.2500  0.5484
Tb  0.7899  0.7500  0.4516
Sn  0.2446  0.7500  0.3391
Sn  0.7554  0.2500  0.6609

Output
calculated volume: 29.87 Å³ per atom
final energy: -4.933 eV/atom
raw formation energy: -1.20 eV per atom
space-group type: P2_1/m, No. 11